# 1
A plane-wave DFT calculation with PBE-GGA was carried out for an optimized crystal structure of Li2Sc2Al2NiPd.

The structure in CIF format:
```
data_Li2Sc2Al2NiPd
_symmetry_space_group_name_H-M 'P -4 m 2'
_symmetry_Int_Tables_number 115
_symmetry_space_group_name_Hall 'P -4 -2'
_cell_length_a 4.4238
_cell_length_b 4.4238
_cell_length_c 6.2929
_cell_angle_alpha 90.00
_cell_angle_beta 90.00
_cell_angle_gamma 90.00
loop_
_atom_site_label
_atom_site_fract_x
_atom_site_fract_y
_atom_site_fract_z
Li1 0.0000 0.0000 0.0000
Li2 0.5000 0.5000 0.5000
Sc1 0.0000 0.5000 0.2361
Al1 0.0000 0.5000 0.7585
Ni1 0.5000 0.5000 0.0000
Pd1 0.0000 0.0000 0.5000
```

***

# 2
# HgAu124 PBE-GGA optimized geometry
data_HgAu124
_symmetry_space_group_name_H-M 'F m -3 m'
_symmetry_Int_Tables_number 225
_symmetry_space_group_name_Hall '-F 4 2 3'
_cell_length_a 20.6704
_cell_length_b 20.6704
_cell_length_c 20.6704
_cell_angle_alpha 90.00
_cell_angle_beta 90.00
_cell_angle_gamma 90.00
loop_
_atom_site_label
_atom_site_fract_x
_atom_site_fract_y
_atom_site_fract_z
Hg1 0.0000 0.0000 0.0000
Au1 0.0000 0.0000 0.2000
Au2 0.0000 0.0000 0.4000
Au3 0.0000 0.1000 0.3000
Au4 0.0000 0.1007 0.1007
Au5 0.0000 0.2003 0.2003
Au6 0.1001 0.1001 0.2002
Au7 0.1000 0.1000 0.4000
Au8 0.1000 0.2000 0.3000
Au9 0.2000 0.2000 0.2000
# **ΔE_f**: 0.0021 eV per atom

***

# 3
A plane-wave DFT calculation with PBE-GGA was carried out for an optimized crystal structure of LiLuHfNi.

The structure in CIF format:
```
data_LiLuHfNi
_symmetry_space_group_name_H-M 'F -4 3 m'
_symmetry_Int_Tables_number 216
_symmetry_space_group_name_Hall 'F -4 2 3'
_cell_length_a 6.5335
_cell_length_b 6.5335
_cell_length_c 6.5335
_cell_angle_alpha 90.00
_cell_angle_beta 90.00
_cell_angle_gamma 90.00
loop_
_atom_site_label
_atom_site_fract_x
_atom_site_fract_y
_atom_site_fract_z
Li1 0.0000 0.0000 0.0000
Lu1 0.2500 0.2500 0.7500
Hf1 0.0000 0.0000 0.5000
Ni1 0.2500 0.2500 0.2500
```

***

# 4
A plane-wave DFT calculation with PBE-GGA was carried out for an optimized crystal structure of BaErSn.

The structure in CIF format:
```
data_BaErSn
_symmetry_space_group_name_H-M 'F -4 3 m'
_symmetry_Int_Tables_number 216
_symmetry_space_group_name_Hall 'F -4 2 3'
_cell_length_a 7.8086
_cell_length_b 7.8086
_cell_length_c 7.8086
_cell_angle_alpha 90.00
_cell_angle_beta 90.00
_cell_angle_gamma 90.00
loop_
_atom_site_label
_atom_site_fract_x
_atom_site_fract_y
_atom_site_fract_z
Ba1 0.0000 0.0000 0.0000
Er1 0.2500 0.2500 0.7500
Sn1 0.2500 0.2500 0.2500
```

***

# 5
# NdTaFe PBE-GGA optimized geometry
data_NdTaFe
_symmetry_space_group_name_H-M 'F -4 3 m'
_symmetry_Int_Tables_number 216
_symmetry_space_group_name_Hall 'F -4 2 3'
_cell_length_a 6.3569
_cell_length_b 6.3569
_cell_length_c 6.3569
_cell_angle_alpha 90.00
_cell_angle_beta 90.00
_cell_angle_gamma 90.00
loop_
_atom_site_label
_atom_site_fract_x
_atom_site_fract_y
_atom_site_fract_z
Nd1 0.0000 0.0000 0.0000
Ta1 0.0000 0.0000 0.5000
Fe1 0.2500 0.2500 0.2500
# **ΔE_f**: 0.6134 eV per atom

***

# 6
A plane-wave DFT calculation with PBE-GGA was carried out for an optimized crystal structure of Zr4NiSnC2.

The structure in CIF format:
```
data_Zr4NiSnC2
_symmetry_space_group_name_H-M 'P -6 m 2'
_symmetry_Int_Tables_number 187
_symmetry_space_group_name_Hall 'P -6 2'
_cell_length_a 3.3439
_cell_length_b 3.3439
_cell_length_c 13.8881
_cell_angle_alpha 90.00
_cell_angle_beta 90.00
_cell_angle_gamma 120.00
loop_
_atom_site_label
_atom_site_fract_x
_atom_site_fract_y
_atom_site_fract_z
Zr1 0.0000 0.0000 0.1374
Zr2 0.6667 0.3333 0.3242
Ni1 0.6667 0.3333 0.0000
Sn1 0.0000 0.0000 0.5000
C1 0.3333 0.6667 0.2345
```

***

# 7
A plane-wave DFT calculation with PBE-GGA was carried out for an optimized crystal structure of Pm3TlSe.

The structure in CIF format:
```
data_Pm3TlSe
_symmetry_space_group_name_H-M 'P m -3 m'
_symmetry_Int_Tables_number 221
_symmetry_space_group_name_Hall '-P 4 2 3'
_cell_length_a 5.4937
_cell_length_b 5.4937
_cell_length_c 5.4937
_cell_angle_alpha 90.00
_cell_angle_beta 90.00
_cell_angle_gamma 90.00
loop_
_atom_site_label
_atom_site_fract_x
_atom_site_fract_y
_atom_site_fract_z
Pm1 0.0000 0.0000 0.5000
Tl1 0.5000 0.5000 0.5000
Se1 0.0000 0.0000 0.0000
```

***

# 8
A plane-wave DFT calculation with PBE-GGA was carried out for an optimized crystal structure of MgScGeIr.

The structure in CIF format:
```
data_MgScGeIr
_symmetry_space_group_name_H-M 'F -4 3 m'
_symmetry_Int_Tables_number 216
_symmetry_space_group_name_Hall 'F -4 2 3'
_cell_length_a 6.4848
_cell_length_b 6.4848
_cell_length_c 6.4848
_cell_angle_alpha 90.00
_cell_angle_beta 90.00
_cell_angle_gamma 90.00
loop_
_atom_site_label
_atom_site_fract_x
_atom_site_fract_y
_atom_site_fract_z
Mg1 0.0000 0.0000 0.0000
Sc1 0.0000 0.0000 0.5000
Ge1 0.2500 0.2500 0.2500
Ir1 0.2500 0.2500 0.7500
```

***

# 9
A plane-wave DFT calculation with PBE-GGA was carried out for an optimized crystal structure of TbGePO.

The structure in CIF format:
```
data_TbGePO
_symmetry_space_group_name_H-M 'P 4/m m m'
_symmetry_Int_Tables_number 123
_symmetry_space_group_name_Hall '-P 4 2'
_cell_length_a 3.9405
_cell_length_b 3.9405
_cell_length_c 4.7769
_cell_angle_alpha 90.00
_cell_angle_beta 90.00
_cell_angle_gamma 90.00
loop_
_atom_site_label
_atom_site_fract_x
_atom_site_fract_y
_atom_site_fract_z
Tb1 0.0000 0.0000 0.0000
Ge1 0.5000 0.5000 0.5000
P1 0.5000 0.5000 0.0000
O1 0.0000 0.0000 0.5000
```

***

# 10
A plane-wave DFT calculation with PBE-GGA was carried out for an optimized crystal structure of NbB4Au.

The structure in CIF format:
```
data_NbB4Au
_symmetry_space_group_name_H-M 'P 6/m m m'
_symmetry_Int_Tables_number 191
_symmetry_space_group_name_Hall '-P 6 2'
_cell_length_a 3.0256
_cell_length_b 3.0256
_cell_length_c 8.0206
_cell_angle_alpha 90.00
_cell_angle_beta 90.00
_cell_angle_gamma 120.00
loop_
_atom_site_label
_atom_site_fract_x
_atom_site_fract_y
_atom_site_fract_z
Nb1 0.0000 0.0000 0.0000
B1 0.3333 0.6667 0.2101
Au1 0.0000 0.0000 0.5000
```

***

# 11
# PaAgMo PBE-GGA optimized geometry
data_PaAgMo
_symmetry_space_group_name_H-M 'F -4 3 m'
_symmetry_Int_Tables_number 216
_symmetry_space_group_name_Hall 'F -4 2 3'
_cell_length_a 6.4294
_cell_length_b 6.4294
_cell_length_c 6.4294
_cell_angle_alpha 90.00
_cell_angle_beta 90.00
_cell_angle_gamma 90.00
loop_
_atom_site_label
_atom_site_fract_x
_atom_site_fract_y
_atom_site_fract_z
Pa1 0.0000 0.0000 0.0000
Ag1 0.0000 0.0000 0.5000
Mo1 0.2500 0.2500 0.7500
# **ΔE_f**: 0.7306 eV per atom

***

# 12
A plane-wave DFT calculation with PBE-GGA was carried out for an optimized crystal structure of NbIn2Pd3.

The structure in CIF format:
```
data_NbIn2Pd3
_symmetry_space_group_name_H-M 'P 6/m m m'
_symmetry_Int_Tables_number 191
_symmetry_space_group_name_Hall '-P 6 2'
_cell_length_a 5.5142
_cell_length_b 5.5142
_cell_length_c 4.3911
_cell_angle_alpha 90.00
_cell_angle_beta 90.00
_cell_angle_gamma 120.00
loop_
_atom_site_label
_atom_site_fract_x
_atom_site_fract_y
_atom_site_fract_z
Nb1 0.0000 0.0000 0.0000
In1 0.3333 0.6667 0.0000
Pd1 0.0000 0.5000 0.5000
```

***

| no. | VASP energy (Ha/atom) |
| --- | --- |
| 1 | -0.1798 |
| 2 | -0.1191 |
| 3 | -0.1941 |
| 4 | -0.1152 |
| 5 | -0.2828 |
| 6 | -0.3089 |
| 7 | -0.1708 |
| 8 | -0.2157 |
| 9 | -0.2210 |
| 10 | -0.2455 |
| 11 | -0.2570 |
| 12 | -0.1884 |